No. 1
Below is a geometry-optimized Tb2ThRu structure, with properties calculated at the PBE-GGA level.

The structure in POSCAR format:
```
Tb2ThRu
1.0
-0.930 -0.660 3.268
0.292 -3.396 -0.602
8.496 0.293 2.476
Th Ru Tb
1 1 2
Direct
0.500 0.500 0.500
0.500 0.500 0.000
0.000 0.000 0.814
0.000 0.000 0.186
```

Computed properties:
- Relative energy among the computed polymorphs: 193 meV/atom
- Volume: 26.5 A^3/atom
- Total energy: -6.634 eV per atom
- DOS(E_F): 1.417 states/eV/atom
- Formation energy from the elements: -0.145 eV/atom

No. 2
Below is a geometry-optimized LaScSe structure, with properties calculated at the PBE-GGA level.

The structure in POSCAR format:
```
LaScSe
1.0
3.870 0.000 0.000
-1.935 3.352 0.000
0.000 0.000 6.562
Se La Sc
1 1 1
Direct
0.333 0.667 0.641
0.000 0.000 0.951
0.667 0.333 0.409
```

Computed properties:
- Relative energy among the computed polymorphs: 0 meV/atom
- Volume: 28.4 A^3/atom
- Total energy: -5.928 eV per atom
- DOS(E_F): 0.568 states/eV/atom
- Formation energy from raw total energies: -1.014 eV/atom

No. 3
Below is a geometry-optimized ZrAlSi structure, with properties calculated at the PBE-GGA level.

The structure in POSCAR format:
```
ZrAlSi
1.0
3.792 0.000 0.000
0.000 3.797 0.000
0.000 0.000 15.869
Si Al Zr
4 4 4
Direct
0.750 0.250 0.655
0.250 0.750 0.346
0.750 0.250 0.845
0.250 0.750 0.154
0.250 0.250 0.000
0.750 0.750 0.500
0.750 0.750 0.000
0.250 0.250 0.500
0.250 0.750 0.854
0.750 0.250 0.354
0.750 0.250 0.146
0.250 0.750 0.646
```

Computed properties:
- Volume: 19.0 A^3/atom
- Total energy: -6.137 eV per atom
- DOS(E_F): 0.542 states/eV/atom
- Formation energy from raw total energies: -0.232 eV/atom

No. 4
Below is a geometry-optimized PmDyAl6 structure, with properties calculated at the PBE-GGA level.

The structure in POSCAR format:
```
PmDyAl6
1.0
-3.858 -3.738 -1.384
3.667 -2.572 -3.274
1.564 -3.192 4.259
Al Dy Pm
6 1 1
Direct
0.751 0.000 0.500
0.249 0.000 0.500
0.500 0.249 0.000
0.500 0.751 0.000
0.000 0.500 0.751
0.000 0.500 0.249
0.000 0.000 0.000
0.500 0.500 0.500
```

Computed properties:
- Relative energy among the computed polymorphs: 374 meV/atom
- Volume: 21.3 A^3/atom
- Total energy: -4.039 eV per atom
- DOS(E_F): 0.614 states/eV/atom
- Formation energy from the elements: -0.063 eV/atom

No. 5
Below is a geometry-optimized LiCaMgF6 structure, with properties calculated at the PBE-GGA level.

The structure in POSCAR format:
```
LiCaMgF6
1.0
-0.769 2.831 -3.955
-4.849 -0.134 0.847
0.749 7.948 5.545
Li F Mg Ca
2 12 2 2
Direct
0.500 0.500 0.504
0.000 0.000 0.004
0.702 0.702 0.979
0.798 0.202 0.479
0.213 0.787 0.848
0.787 0.213 0.848
0.202 0.798 0.479
0.319 0.319 0.672
0.181 0.819 0.172
0.298 0.298 0.979
0.713 0.713 0.348
0.287 0.287 0.348
0.819 0.181 0.172
0.681 0.681 0.672
0.000 0.000 0.329
0.500 0.500 0.829
0.500 0.500 0.168
0.000 0.000 0.668
```

Computed properties:
- Volume: 13.1 A^3/atom
- Total energy: -4.915 eV per atom
- DOS(E_F): 0.978 states/eV/atom
- Formation energy from raw total energies: -3.055 eV/atom

No. 6
Below is a geometry-optimized InRuS2Cl structure, with properties calculated at the PBE-GGA level.

The structure in POSCAR format:
```
InRuS2Cl
1.0
4.983 0.000 0.000
0.000 4.983 0.000
0.000 0.000 4.970
In S Cl Ru
1 2 1 1
Direct
0.000 0.000 0.000
0.000 0.500 0.000
0.500 0.000 0.000
0.000 0.000 0.500
0.500 0.500 0.500
```

Computed properties:
- Relative energy among the computed polymorphs: 870 meV/atom
- Volume: 24.7 A^3/atom
- Total energy: -3.614 eV per atom
- DOS(E_F): 1.309 states/eV/atom
- Formation energy from raw total energies: 0.809 eV/atom

No. 7
Below is a geometry-optimized PuCdNi structure, with properties calculated at the PBE-GGA level.

The structure in POSCAR format:
```
PuCdNi
1.0
-5.029 1.841 0.142
1.011 -5.236 0.512
2.332 2.218 4.357
Pu Ni Cd
2 2 2
Direct
0.666 0.334 0.000
0.334 0.666 0.000
0.250 0.750 0.500
0.750 0.250 0.500
0.164 0.164 0.327
0.836 0.836 0.673
```

Computed properties:
- Volume: 19.4 A^3/atom
- Total energy: -7.095 eV per atom
- DOS(E_F): 2.460 states/eV/atom
- Formation energy from the elements: -0.086 eV/atom

No. 8
Below is a geometry-optimized Al2CdFe structure, with properties calculated at the PBE-GGA level.

The structure in POSCAR format:
```
Al2CdFe
1.0
-1.363 3.768 0.554
-1.400 0.051 -3.794
-3.277 -1.361 1.191
Al Fe Cd
2 1 1
Direct
0.000 0.000 0.000
0.500 0.500 0.000
0.000 0.500 0.500
0.500 0.000 0.500
```

Computed properties:
- Volume: 15.3 A^3/atom
- Total energy: -4.092 eV per atom
- DOS(E_F): 0.780 states/eV/atom
- Formation energy from the elements: 0.124 eV/atom

No. 9
Below is a geometry-optimized YHgPd3 structure, with properties calculated at the PBE-GGA level.

The structure in POSCAR format:
```
YHgPd3
1.0
5.067 0.000 0.000
0.000 5.067 0.000
0.000 0.000 5.067
Hg Pd Y
1 3 1
Direct
0.500 0.500 0.500
0.000 0.500 0.000
0.500 0.000 0.000
0.000 0.000 0.500
0.000 0.000 0.000
```

Computed properties:
- Relative energy among the computed polymorphs: 858 meV/atom
- Volume: 26.0 A^3/atom
- Total energy: -3.962 eV per atom
- DOS(E_F): 0.580 states/eV/atom
- Formation energy from the elements: 0.507 eV/atom

No. 10
Below is a geometry-optimized VAg2Sn2 structure, with properties calculated at the PBE-GGA level.

The structure in POSCAR format:
```
VAg2Sn2
1.0
-1.686 0.285 -7.243
-3.838 -6.344 0.644
-3.233 2.040 0.833
Ag V Sn
4 2 4
Direct
0.858 0.358 0.500
0.142 0.642 0.500
0.642 0.858 0.500
0.358 0.142 0.500
0.500 0.500 0.000
0.000 0.000 0.000
0.659 0.159 0.000
0.841 0.659 0.000
0.159 0.341 0.000
0.341 0.841 0.000
```

Computed properties:
- Volume: 21.7 A^3/atom
- Total energy: -4.235 eV per atom
- DOS(E_F): 0.483 states/eV/atom
- Formation energy from the elements: 0.330 eV/atom

No. 11
Below is a geometry-optimized Al2BSe structure, with properties calculated at the PBE-GGA level.

The structure in POSCAR format:
```
Al2BSe
1.0
5.338 0.000 0.000
0.000 5.338 0.000
2.669 2.669 5.312
Al B Se
4 2 2
Direct
0.196 0.625 0.250
0.554 0.125 0.250
0.375 0.446 0.750
0.875 0.804 0.750
0.500 0.500 0.000
0.250 0.750 0.500
0.750 0.250 0.500
0.000 0.000 0.000
```

Computed properties:
- Relative energy among the computed polymorphs: 0 meV/atom
- Volume: 18.9 A^3/atom
- Total energy: -4.457 eV per atom
- DOS(E_F): 0.758 states/eV/atom
- Formation energy from raw total energies: -0.045 eV/atom

No. 12
Below is a geometry-optimized Na2Zn2AsO6 structure, with properties calculated at the PBE-GGA level.

The structure in POSCAR format:
```
Na2Zn2AsO6
1.0
-1.375 -1.659 4.694
4.798 1.725 -0.827
-1.631 5.185 1.355
Zn O Na As
2 6 2 1
Direct
0.333 0.667 0.000
0.667 0.333 0.000
0.000 0.301 0.190
0.699 0.699 0.190
0.301 0.301 0.810
0.301 0.000 0.190
0.000 0.699 0.810
0.699 0.000 0.810
0.667 0.333 0.500
0.333 0.667 0.500
0.000 0.000 0.000
```

Computed properties:
- Volume: 11.8 A^3/atom
- Total energy: -4.908 eV per atom
- DOS(E_F): 0.626 states/eV/atom
- Formation energy from raw total energies: -1.309 eV/atom

No. 13
Below is a geometry-optimized NaPr3Ho2Te6 structure, with properties calculated at the PBE-GGA level.

The structure in POSCAR format:
```
NaPr3Ho2Te6
1.0
4.431 0.000 0.000
0.000 8.977 0.282
-2.216 -2.628 9.407
Pr Te Ho Na
3 6 2 1
Direct
0.160 0.822 0.319
0.840 0.178 0.681
0.500 0.500 0.000
0.331 0.907 0.663
0.670 0.575 0.341
0.330 0.425 0.659
0.994 0.755 0.987
0.006 0.245 0.013
0.669 0.093 0.337
0.165 0.338 0.331
0.835 0.662 0.669
0.500 0.000 0.000
```

Computed properties:
- Volume: 31.5 A^3/atom
- Total energy: -4.993 eV per atom
- DOS(E_F): 0.356 states/eV/atom
- Formation energy from raw total energies: -1.355 eV/atom

No. 14
Below is a geometry-optimized CdCuAg structure, with properties calculated at the PBE-GGA level.

The structure in POSCAR format:
```
CdCuAg
1.0
-4.047 -3.444 -0.010
-0.925 -3.982 -3.395
3.482 2.327 3.271
Ag Cd Cu
1 1 1
Direct
0.013 0.013 0.000
0.325 0.325 0.000
0.663 0.663 0.000
```

Computed properties:
- Relative energy among the computed polymorphs: 4 meV/atom
- Volume: 17.0 A^3/atom
- Total energy: -2.574 eV per atom
- DOS(E_F): 0.242 states/eV/atom
- Formation energy from the elements: 0.047 eV/atom

No. 15
Below is a geometry-optimized ErHPd3 structure, with properties calculated at the PBE-GGA level.

The structure in POSCAR format:
```
ErHPd3
1.0
-3.422 -0.873 2.166
2.052 -2.959 2.049
1.115 2.765 2.877
Pd H Er
3 1 1
Direct
0.000 0.000 0.500
0.500 0.000 0.000
0.000 0.500 0.000
0.000 0.000 0.000
0.500 0.500 0.500
```

Computed properties:
- Volume: 14.2 A^3/atom
- Total energy: -5.440 eV per atom
- DOS(E_F): 0.096 states/eV/atom

No. 16
Below is a geometry-optimized HfTa3B structure, with properties calculated at the PBE-GGA level.

The structure in POSCAR format:
```
HfTa3B
1.0
-4.186 -0.581 1.374
1.341 -3.257 2.709
0.653 2.966 3.243
Ta B Hf
3 1 1
Direct
0.000 0.500 0.000
0.000 0.000 0.500
0.500 0.000 0.000
0.000 0.000 0.000
0.500 0.500 0.500
```

Computed properties:
- Relative energy among the computed polymorphs: 0 meV/atom
- Volume: 17.5 A^3/atom
- Total energy: -10.482 eV per atom
- DOS(E_F): 0.699 states/eV/atom
- Formation energy from the elements: -0.044 eV/atom

No. 17
Below is a geometry-optimized CsK3Np2Se6 structure, with properties calculated at the PBE-GGA level.

The structure in POSCAR format:
```
CsK3Np2Se6
1.0
-3.004 2.763 -1.493
-2.896 -6.509 -6.219
-4.212 -3.234 8.818
Se K Np Cs
6 3 2 1
Direct
0.679 0.147 0.358
0.321 0.853 0.642
0.680 0.555 0.359
0.036 0.289 0.073
0.320 0.445 0.641
0.964 0.711 0.927
0.841 0.163 0.682
0.500 0.500 0.000
0.159 0.837 0.318
0.827 0.656 0.654
0.173 0.344 0.346
0.500 0.000 0.000
```

Computed properties:
- Volume: 33.6 A^3/atom
- Total energy: -5.435 eV per atom
- DOS(E_F): 1.221 states/eV/atom
- Formation energy from raw total energies: -1.190 eV/atom

No. 18
Below is a geometry-optimized ScCrN2 structure, with properties calculated at the PBE-GGA level.

The structure in POSCAR format:
```
ScCrN2
1.0
-1.501 2.560 -0.050
-2.396 0.349 1.716
1.682 2.792 4.347
Sc Cr N
1 1 2
Direct
0.671 0.671 0.987
0.497 0.497 0.509
0.089 0.089 0.734
0.244 0.244 0.269
```

Computed properties:
- Volume: 9.8 A^3/atom
- Total energy: -9.098 eV per atom
- DOS(E_F): 0.675 states/eV/atom
- Formation energy from raw total energies: -0.946 eV/atom

No. 19
Below is a geometry-optimized Nd2Pd5PtAu2 structure, with properties calculated at the PBE-GGA level.

The structure in POSCAR format:
```
Nd2Pd5PtAu2
1.0
4.129 0.000 0.000
0.000 9.711 0.000
0.000 0.000 9.711
Pd Au Nd Pt
10 4 4 2
Direct
0.500 0.000 0.500
0.500 0.698 0.445
0.500 0.500 0.000
0.500 0.445 0.302
0.500 0.945 0.198
0.500 0.555 0.698
0.500 0.055 0.802
0.500 0.302 0.555
0.500 0.802 0.945
0.500 0.198 0.055
0.000 0.123 0.623
0.000 0.877 0.377
0.000 0.623 0.877
0.000 0.377 0.123
0.000 0.177 0.323
0.000 0.323 0.823
0.000 0.823 0.677
0.000 0.677 0.177
0.000 0.000 0.000
0.000 0.500 0.500
```

Computed properties:
- Volume: 19.5 A^3/atom
- Total energy: -5.352 eV per atom
- DOS(E_F): 0.467 states/eV/atom
- Formation energy from the elements: -0.542 eV/atom

No. 20
Below is a geometry-optimized Rb6HgSe4 structure, with properties calculated at the PBE-GGA level.

The structure in POSCAR format:
```
Rb6HgSe4
1.0
10.879 0.000 0.000
-5.440 9.422 0.000
0.000 0.000 8.369
Rb Se Hg
12 8 2
Direct
0.055 0.528 0.879
0.149 0.298 0.206
0.702 0.851 0.206
0.945 0.472 0.379
0.528 0.472 0.379
0.472 0.945 0.879
0.851 0.149 0.706
0.472 0.528 0.879
0.528 0.055 0.379
0.298 0.149 0.706
0.149 0.851 0.206
0.851 0.702 0.706
0.807 0.193 0.100
0.193 0.385 0.600
0.807 0.615 0.100
0.193 0.807 0.600
0.667 0.333 0.665
0.385 0.193 0.100
0.333 0.667 0.165
0.615 0.807 0.600
0.667 0.333 0.001
0.333 0.667 0.501
```

Computed properties:
- Volume: 39.0 A^3/atom
- Total energy: -2.805 eV per atom
- Formation energy from raw total energies: -0.983 eV/atom

No. 21
Below is a geometry-optimized Ca3Sn4 structure, with properties calculated at the PBE-GGA level.

The structure in POSCAR format:
```
Ca3Sn4
1.0
-1.353 2.590 3.649
-3.127 -5.402 -0.317
10.860 -6.805 8.854
Ca Sn
6 8
Direct
0.036 0.072 0.750
0.690 0.380 0.098
0.966 0.933 0.250
0.312 0.625 0.903
0.690 0.380 0.403
0.312 0.625 0.598
0.601 0.203 0.607
0.601 0.203 0.894
0.241 0.482 0.250
0.401 0.802 0.107
0.001 0.002 0.500
0.401 0.802 0.394
0.761 0.523 0.750
0.001 0.002 0.000
```

Computed properties:
- Volume: 30.2 A^3/atom
- Total energy: -3.674 eV per atom
- DOS(E_F): 0.560 states/eV/atom
- Formation energy from the elements: -0.528 eV/atom

No. 22
Below is a geometry-optimized HfTl2Se structure, with properties calculated at the PBE-GGA level.

The structure in POSCAR format:
```
HfTl2Se
1.0
-0.513 10.233 -1.834
-7.968 0.792 6.651
-2.608 5.936 4.314
Hf Tl Se
2 4 2
Direct
0.750 0.250 0.500
0.000 0.000 0.000
0.875 0.001 0.750
0.751 0.125 0.250
0.999 0.625 0.250
0.375 0.249 0.750
0.250 0.750 0.500
0.500 0.500 0.000
```

Computed properties:
- Relative energy among the computed polymorphs: 0 meV/atom
- Volume: 34.5 A^3/atom
- Total energy: -4.488 eV per atom
- DOS(E_F): 0.183 states/eV/atom
- Formation energy from raw total energies: 0.055 eV/atom

No. 23
Below is a geometry-optimized TbAlAs2O8 structure, with properties calculated at the PBE-GGA level.

The structure in POSCAR format:
```
TbAlAs2O8
1.0
-4.821 -2.065 -0.884
4.247 -1.993 -2.505
0.894 -4.150 4.817
O Tb Al As
8 1 1 2
Direct
0.155 0.311 0.807
0.845 0.155 0.193
0.667 0.333 0.532
0.155 0.845 0.807
0.311 0.155 0.193
0.689 0.845 0.807
0.333 0.667 0.468
0.845 0.689 0.193
0.000 0.000 0.500
0.000 0.000 0.000
0.667 0.333 0.269
0.333 0.667 0.731
```

Computed properties:
- Volume: 13.1 A^3/atom
- Total energy: -6.809 eV per atom
- DOS(E_F): 0.000 states/eV/atom
- Formation energy from raw total energies: -2.031 eV/atom